# CrRh2O

An optimized crystal structure of CrRh2O (PBE+U, Alexandria).

The structure in POSCAR format:
```
CrRh2O
1.0
-2.669 2.669 4.313
2.669 -2.669 4.313
2.669 2.669 -4.313
Cr Rh O
2 4 2
direct
0.000 0.000 0.000
0.750 0.250 0.500
0.157 0.625 0.032
0.375 0.407 0.532
0.593 0.125 0.968
0.875 0.843 0.468
0.250 0.750 0.500
0.500 0.500 0.000
```

D(E_F) (states/eV per cell): 0.0
Uncorrected energy (eV/atom): -5.93